Entry from Alexandria via LeMat-Bulk: a geometry-optimized Ba2RuPt structure (PBE-GGA).

The structure belongs to space group C2/m (No. 12); the cell edges are 7.283, 7.988 and 3.836 Å and the angles 90.00°, 90.13° and 90.00°. The distinct sites, in fractional coordinates, are Ba at (0.250, 0.250, 0.000), Ru at (0.000, 0.000, 0.500) and Pt at (0.000, 0.500, 0.500).

As for the total DFT energy (no corrections): -36.40 eV per cell.